# LaCdAg | Alexandria | meta-GGA SCAN | PBEsol geometry
# D(E_F) ... 0.66 states/eV per atom
# Volume ... 24.04 Å³ per atom
# Uncorrected energy ... -34.969 eV/atom
# Total magnetic moment ... 0.0 Bohr magnetons per cell
data_LaCdAg
_symmetry_space_group_name_H-M 'P 3 m 1'
_symmetry_Int_Tables_number 156
_cell_length_a 3.3506
_cell_length_b 3.3506
_cell_length_c 7.4183
_cell_angle_alpha 90.00
_cell_angle_beta 90.00
_cell_angle_gamma 120.00
loop_
_symmetry_equiv_pos_as_xyz
'x,y,z'
'-y,x-y,z'
'-x+y,-x,z'
'-y,-x,z'
'-x+y,y,z'
'x,x-y,z'
loop_
_atom_site_label
_atom_site_type_symbol
_atom_site_fract_x
_atom_site_fract_y
_atom_site_fract_z
La1 La 0.0000 0.0000 0.0000
Cd1 Cd 0.6667 0.3333 0.3718
Ag1 Ag 0.3333 0.6667 0.6518